No. 1
Below is a geometry-optimized LaInNF2 structure, with properties calculated at the PBE-GGA level.

The space group is P4/mmm (No. 123) and the conventional cell measures 4.820, 4.820 and 4.373 Å, with angles of 90.00, 90.00 and 90.00 degrees. The inequivalent atoms are La at (0.000, 0.000, 0.000), In at (0.500, 0.500, 0.500), N at (0.000, 0.000, 0.500) and F at (0.000, 0.500, 0.000).

The polymorph energy (0 for the lowest one) comes out at 0.000 eV per atom.

---

No. 2
Below is a geometry-optimized NaLa2InF structure, with properties calculated at the PBE-GGA level.

The space group is P4/mmm (No. 123) and the conventional cell measures 5.230, 5.230 and 4.687 Å, with angles of 90.00, 90.00 and 90.00 degrees. The inequivalent atoms are Na at (0.000, 0.000, 0.000), La at (0.000, 0.500, 0.500), In at (0.500, 0.500, 0.000) and F at (0.000, 0.000, 0.500).

---

No. 3
Below is a geometry-optimized LaIn2OF structure, with properties calculated at the PBE-GGA level.

The space group is P4/mmm (No. 123) and the conventional cell measures 4.383, 4.383 and 5.983 Å, with angles of 90.00, 90.00 and 90.00 degrees. The inequivalent atoms are La at (0.000, 0.000, 0.000), In at (0.000, 0.500, 0.500), O at (0.500, 0.500, 0.500) and F at (0.500, 0.500, 0.000).

---

| no. | mass density (g cm⁻³) | E_form (uncorrected) (meV per atom) | M_tot (μB/cell) |
| --- | --- | --- | --- |
| 1 | 5.00 | -1785 | 0.0 |
| 2 | 5.63 | -1196 | 0.0 |
| 3 | 5.83 | -893 | 0.0 |